<A>
# PBE-GGA AgMo2Br, relaxed
data_AgMo2Br
_cell_length_a 6.430
_cell_length_b 6.430
_cell_length_c 6.430
_cell_angle_alpha 90.00
_cell_angle_beta 90.00
_cell_angle_gamma 90.00
_symmetry_space_group_name_H-M 'F m -3 m'
_symmetry_Int_Tables_number 225
_symmetry_space_group_name_Hall '-F 4 2 3'
loop_
_atom_site_label
_atom_site_type_symbol
_atom_site_fract_x
_atom_site_fract_y
_atom_site_fract_z
Ag1 Ag 0.000 0.000 0.000
Mo1 Mo 0.250 0.250 0.250
Br1 Br 0.000 0.000 0.500
# Total magnetization   0.00 μB/atom


<B>
# PBE-GGA AgMo2Br, relaxed
data_AgMo2Br
_cell_length_a 3.099
_cell_length_b 3.099
_cell_length_c 6.870
_cell_angle_alpha 90.00
_cell_angle_beta 90.00
_cell_angle_gamma 90.00
_symmetry_space_group_name_H-M 'P 4/m m m'
_symmetry_Int_Tables_number 123
_symmetry_space_group_name_Hall '-P 4 2'
loop_
_atom_site_label
_atom_site_type_symbol
_atom_site_fract_x
_atom_site_fract_y
_atom_site_fract_z
Ag1 Ag 0.000 0.000 0.000
Mo1 Mo 0.500 0.500 0.268
Br1 Br 0.000 0.000 0.500
# Total magnetization   0.00 μB/atom


<C>
# PBE-GGA AgMo2Br, relaxed
data_AgMo2Br
_cell_length_a 3.290
_cell_length_b 5.042
_cell_length_c 9.240
_cell_angle_alpha 90.00
_cell_angle_beta 90.00
_cell_angle_gamma 90.00
_symmetry_space_group_name_H-M 'C m m 2'
_symmetry_Int_Tables_number 35
loop_
_symmetry_equiv_pos_as_xyz
'x,y,z'
'-x,-y,z'
'-x,y,z'
'x,-y,z'
'x+1/2,y+1/2,z'
'-x+1/2,-y+1/2,z'
'-x+1/2,y+1/2,z'
'x+1/2,-y+1/2,z'
loop_
_atom_site_label
_atom_site_type_symbol
_atom_site_fract_x
_atom_site_fract_y
_atom_site_fract_z
Ag1 Ag 0.000 0.000 0.000
Mo1 Mo 0.000 0.000 0.544
Mo2 Mo 0.000 0.500 0.744
Br1 Br 0.000 0.500 0.297
# Total magnetization   0.00 μB/atom


Sorted by energy, starting with the most stable: <C>, <B>, <A>.


<A>
# PBE-GGA Ag2MoBr, relaxed
data_Ag2MoBr
_cell_length_a 12.737
_cell_length_b 2.983
_cell_length_c 4.603
_cell_angle_alpha 90.00
_cell_angle_beta 111.10
_cell_angle_gamma 90.00
_symmetry_space_group_name_H-M 'C 1 2/m 1'
_symmetry_Int_Tables_number 12
loop_
_symmetry_equiv_pos_as_xyz
'x,y,z'
'-x,-y,-z'
'-x,y,-z'
'x,-y,z'
'x+1/2,y+1/2,z'
'-x+1/2,-y+1/2,-z'
'-x+1/2,y+1/2,-z'
'x+1/2,-y+1/2,z'
loop_
_atom_site_label
_atom_site_type_symbol
_atom_site_fract_x
_atom_site_fract_y
_atom_site_fract_z
Ag1 Ag 0.211 0.000 0.211
Mo1 Mo 0.000 0.500 0.000
Br1 Br 0.000 0.000 0.500
# Total magnetization   0.45 μB/atom


<B>
# PBE-GGA Ag2MoBr, relaxed
data_Ag2MoBr
_cell_length_a 4.368
_cell_length_b 2.941
_cell_length_c 11.829
_cell_angle_alpha 90.00
_cell_angle_beta 90.00
_cell_angle_gamma 90.00
_symmetry_space_group_name_H-M 'A m m 2'
_symmetry_Int_Tables_number 38
loop_
_symmetry_equiv_pos_as_xyz
'x,y,z'
'-x,-y,z'
'-x,y,z'
'x,-y,z'
'x,y+1/2,z+1/2'
'-x,-y+1/2,z+1/2'
'-x,y+1/2,z+1/2'
'x,-y+1/2,z+1/2'
loop_
_atom_site_label
_atom_site_type_symbol
_atom_site_fract_x
_atom_site_fract_y
_atom_site_fract_z
Ag1 Ag 0.000 0.000 0.000
Ag2 Ag 0.500 0.000 0.387
Mo1 Mo 0.000 0.000 0.756
Br1 Br 0.500 0.000 0.654
# Total magnetization   0.00 μB/atom


Sorted by energy, starting with the most stable: <B>, <A>.


<A>
# PBE-GGA Ag2MoBr, relaxed
data_Ag2MoBr
_cell_length_a 9.008
_cell_length_b 2.986
_cell_length_c 5.665
_cell_angle_alpha 90.00
_cell_angle_beta 99.25
_cell_angle_gamma 90.00
_symmetry_space_group_name_H-M 'C 1 m 1'
_symmetry_Int_Tables_number 8
loop_
_symmetry_equiv_pos_as_xyz
'x,y,z'
'x,-y,z'
'x+1/2,y+1/2,z'
'x+1/2,-y+1/2,z'
loop_
_atom_site_label
_atom_site_type_symbol
_atom_site_fract_x
_atom_site_fract_y
_atom_site_fract_z
Ag1 Ag 0.000 0.000 0.000
Ag2 Ag 0.250 0.000 0.784
Mo1 Mo 0.243 0.500 0.293
Br1 Br 0.480 0.000 0.455
# Total magnetization   0.00 μB/atom


<B>
# PBE-GGA Ag2MoBr, relaxed
data_Ag2MoBr
_cell_length_a 3.040
_cell_length_b 4.749
_cell_length_c 5.276
_cell_angle_alpha 90.00
_cell_angle_beta 90.00
_cell_angle_gamma 90.00
_symmetry_space_group_name_H-M 'P m m m'
_symmetry_Int_Tables_number 47
loop_
_symmetry_equiv_pos_as_xyz
'x,y,z'
'-x,-y,-z'
'-x,-y,z'
'x,y,-z'
'x,-y,-z'
'-x,y,z'
'-x,y,-z'
'x,-y,z'
loop_
_atom_site_label
_atom_site_type_symbol
_atom_site_fract_x
_atom_site_fract_y
_atom_site_fract_z
Ag1 Ag 0.000 0.000 0.000
Ag2 Ag 0.500 0.500 0.000
Mo1 Mo 0.000 0.500 0.500
Br1 Br 0.500 0.000 0.500
# Total magnetization   0.47 μB/atom


Sorted by energy, starting with the most stable: <A>, <B>.


<A>
# PBE-GGA Ag2MoBr, relaxed
data_Ag2MoBr
_cell_length_a 3.0957
_cell_length_b 3.0957
_cell_length_c 29.0242
_cell_angle_alpha 90.00
_cell_angle_beta 90.00
_cell_angle_gamma 120.00
_symmetry_space_group_name_H-M 'R 3 m'
_symmetry_Int_Tables_number 160
_symmetry_space_group_name_Hall 'R 3 -2"'
loop_
_atom_site_label
_atom_site_type_symbol
_atom_site_fract_x
_atom_site_fract_y
_atom_site_fract_z
Ag1 Ag 0.0000 0.0000 0.0000
Ag2 Ag 0.0000 0.0000 0.2557
Mo1 Mo 0.0000 0.0000 0.7446
Br1 Br 0.0000 0.0000 0.4748
# Total magnetization   0.00 μB/atom


<B>
# PBE-GGA Ag2MoBr, relaxed
data_Ag2MoBr
_cell_length_a 2.9906
_cell_length_b 2.9906
_cell_length_c 29.5134
_cell_angle_alpha 90.00
_cell_angle_beta 90.00
_cell_angle_gamma 120.00
_symmetry_space_group_name_H-M 'R -3 m'
_symmetry_Int_Tables_number 166
_symmetry_space_group_name_Hall '-R 3 2"'
loop_
_atom_site_label
_atom_site_type_symbol
_atom_site_fract_x
_atom_site_fract_y
_atom_site_fract_z
Ag1 Ag 0.0000 0.0000 0.2449
Mo1 Mo 0.0000 0.0000 0.5000
Br1 Br 0.0000 0.0000 0.0000
# Total magnetization   0.15 μB/atom


<C>
# PBE-GGA Ag2MoBr, relaxed
data_Ag2MoBr
_cell_length_a 3.040
_cell_length_b 3.040
_cell_length_c 8.757
_cell_angle_alpha 90.00
_cell_angle_beta 90.00
_cell_angle_gamma 90.00
_symmetry_space_group_name_H-M 'P 4 m m'
_symmetry_Int_Tables_number 99
loop_
_symmetry_equiv_pos_as_xyz
'x,y,z'
'-y,x,z'
'-x,-y,z'
'y,-x,z'
'-x,y,z'
'y,x,z'
'x,-y,z'
'-y,-x,z'
loop_
_atom_site_label
_atom_site_type_symbol
_atom_site_fract_x
_atom_site_fract_y
_atom_site_fract_z
Ag1 Ag 0.000 0.000 0.000
Ag2 Ag 0.500 0.500 0.222
Mo1 Mo 0.500 0.500 0.775
Br1 Br 0.000 0.000 0.597
# Total magnetization   0.00 μB/atom


Sorted by energy, starting with the most stable: <A>, <C>, <B>.